Record 1
Computed, not measured: Sm2Ga2Fe2C after structural relaxation at the PBE level of DFT.

## Properties
- M_tot: 0.00 μB/cell
- E_form: -0.4102 eV per atom
- DFT total energy: -6.359 eV/atom
- SG: C2/m
- Volume: 244.1 Å³/cell

Unit cell a=10.993 b=4.047 c=7.128 alpha=90.00 beta=129.69 gamma=90.00
Positions (direct):
Sm: 0.056 0.000 0.287
Sm: 0.444 0.500 0.713
Sm: 0.556 0.500 0.287
Sm: 0.944 0.000 0.713
Ga: 0.167 0.500 0.722
Ga: 0.333 0.000 0.278
Ga: 0.667 0.000 0.722
Ga: 0.833 0.500 0.278
Fe: 0.191 0.500 0.086
Fe: 0.309 0.000 0.914
Fe: 0.691 0.000 0.086
Fe: 0.809 0.500 0.914
C: 0.000 0.500 0.000
C: 0.500 0.000 0.000

=====

Record 2
Computed, not measured: Tb2Ga2Fe2C after structural relaxation at the PBE level of DFT.

## Properties
- M_tot: 0.00 μB/cell
- E_form: -0.4448 eV per atom
- DFT total energy: -6.368 eV/atom
- SG: C2/m
- Volume: 234.5 Å³/cell

Unit cell a=10.849 b=3.978 c=7.010 alpha=90.00 beta=129.17 gamma=90.00
Positions (direct):
Tb: 0.056 0.000 0.285
Tb: 0.444 0.500 0.715
Tb: 0.556 0.500 0.285
Tb: 0.944 0.000 0.715
Ga: 0.161 0.500 0.712
Ga: 0.339 0.000 0.288
Ga: 0.661 0.000 0.712
Ga: 0.839 0.500 0.288
Fe: 0.193 0.500 0.087
Fe: 0.307 0.000 0.913
Fe: 0.693 0.000 0.087
Fe: 0.807 0.500 0.913
C: 0.000 0.500 0.000
C: 0.500 0.000 0.000

=====

Record 3
Computed, not measured: TbGa2Fe2C after structural relaxation at the PBE level of DFT.

## Properties
- M_tot: 0.00 μB/cell
- E_form: -0.3302 eV per atom
- DFT total energy: -6.469 eV/atom
- SG: P4/mmm
- Volume: 82.7 Å³/cell

Unit cell a=3.862 b=3.862 c=5.546 alpha=90.00 beta=90.00 gamma=90.00
Positions (direct):
Tb: 0.000 0.000 0.000
Ga: 0.500 0.500 0.226
Ga: 0.500 0.500 0.774
Fe: 0.000 0.500 0.500
Fe: 0.500 0.000 0.500
C: 0.000 0.000 0.500

=====

Record 4
Computed, not measured: Tb3Ga2Fe3C after structural relaxation at the PBE level of DFT.

## Properties
- M_tot: 6.49 μB/cell
- E_form: -0.0586 eV per atom
- DFT total energy: -6.120 eV/atom
- SG: P-62m
- Volume: 160.6 Å³/cell

Unit cell a=6.843 b=6.843 c=3.960 alpha=90.00 beta=90.00 gamma=120.00
Positions (direct):
Tb: 0.000 0.366 0.000
Tb: 0.366 0.000 0.000
Tb: 0.634 0.634 0.000
Ga: 0.333 0.667 0.500
Ga: 0.667 0.333 0.500
Fe: 0.000 0.798 0.500
Fe: 0.202 0.202 0.500
Fe: 0.798 0.000 0.500
C: 0.000 0.000 0.000

=====

Record 5
Computed, not measured: Tb2GaFeC after structural relaxation at the PBE level of DFT.

## Properties
- M_tot: 0.44 μB/cell
- E_form: -0.3841 eV per atom
- DFT total energy: -6.379 eV/atom
- SG: P4/mmm
- Volume: 92.1 Å³/cell

Unit cell a=5.007 b=5.007 c=3.675 alpha=90.00 beta=90.00 gamma=90.00
Positions (direct):
Tb: 0.000 0.500 0.000
Tb: 0.500 0.000 0.000
Ga: 0.000 0.000 0.500
Fe: 0.500 0.500 0.500
C: 0.500 0.500 0.000

=====

Record 6
Computed, not measured: GaFe2TcC after structural relaxation at the PBE level of DFT.

## Properties
- M_tot: 3.78 μB/cell
- E_form: -0.0395 eV per atom
- DFT total energy: -7.948 eV/atom
- SG: P4/mmm
- Volume: 59.4 Å³/cell

Unit cell a=3.824 b=3.824 c=4.066 alpha=90.00 beta=90.00 gamma=90.00
Positions (direct):
Ga: 0.000 0.000 0.000
Fe: 0.000 0.500 0.500
Fe: 0.500 0.000 0.500
Tc: 0.500 0.500 0.000
C: 0.500 0.500 0.500

=====

Record 7
Computed, not measured: Th2GaFeC after structural relaxation at the PBE level of DFT.

## Properties
- M_tot: 0.00 μB/cell
- E_form: -0.3024 eV per atom
- DFT total energy: -7.413 eV/atom
- SG: P2_1/m
- Volume: 204.8 Å³/cell

Unit cell a=6.439 b=4.013 c=8.442 alpha=90.00 beta=110.10 gamma=90.00
Positions (direct):
Th: 0.224 0.250 0.394
Th: 0.227 0.250 0.968
Th: 0.773 0.750 0.032
Th: 0.776 0.750 0.606
Ga: 0.306 0.750 0.701
Ga: 0.694 0.250 0.299
Fe: 0.479 0.750 0.256
Fe: 0.521 0.250 0.744
C: 0.178 0.750 0.175
C: 0.822 0.250 0.825

=====

Record 8
Computed, not measured: ThGaFe2C after structural relaxation at the PBE level of DFT.

## Properties
- M_tot: 1.56 μB/cell
- E_form: -0.2736 eV per atom
- DFT total energy: -7.593 eV/atom
- SG: Cmcm
- Volume: 148.8 Å³/cell

Unit cell a=5.771 b=5.771 c=6.832 alpha=90.00 beta=90.00 gamma=139.16
Positions (direct):
Th: 0.060 0.940 0.750
Th: 0.940 0.060 0.250
Ga: 0.224 0.776 0.250
Ga: 0.776 0.224 0.750
Fe: 0.340 0.660 0.567
Fe: 0.340 0.660 0.933
Fe: 0.660 0.340 0.067
Fe: 0.660 0.340 0.433
C: 0.500 0.500 0.000
C: 0.500 0.500 0.500

=====

Record 9
Computed, not measured: TiGaFe2C after structural relaxation at the PBE level of DFT.

## Properties
- M_tot: 2.22 μB/cell
- E_form: -0.1943 eV per atom
- DFT total energy: -7.609 eV/atom
- SG: P4/mmm
- Volume: 59.5 Å³/cell

Unit cell a=3.783 b=3.783 c=4.157 alpha=90.00 beta=90.00 gamma=90.00
Positions (direct):
Ti: 0.000 0.000 0.000
Ga: 0.500 0.500 0.000
Fe: 0.000 0.500 0.500
Fe: 0.500 0.000 0.500
C: 0.000 0.000 0.500

=====

Record 10
Computed, not measured: Ti2GaFeC after structural relaxation at the PBE level of DFT.

## Properties
- M_tot: 1.58 μB/cell
- E_form: -0.4410 eV per atom
- DFT total energy: -7.742 eV/atom
- SG: P4/mmm
- Volume: 66.0 Å³/cell

Unit cell a=4.196 b=4.196 c=3.752 alpha=90.00 beta=90.00 gamma=90.00
Positions (direct):
Ti: 0.000 0.500 0.000
Ti: 0.500 0.000 0.000
Ga: 0.000 0.000 0.500
Fe: 0.500 0.500 0.500
C: 0.500 0.500 0.000

=====

Record 11
Computed, not measured: Tm3Ga2Fe3C after structural relaxation at the PBE level of DFT.

## Properties
- M_tot: 5.35 μB/cell
- E_form: -0.1163 eV per atom
- DFT total energy: -6.125 eV/atom
- SG: P-62m
- Volume: 150.2 Å³/cell

Unit cell a=6.804 b=6.804 c=3.747 alpha=90.00 beta=90.00 gamma=120.00
Positions (direct):
Tm: 0.000 0.365 0.000
Tm: 0.365 0.000 0.000
Tm: 0.635 0.635 0.000
Ga: 0.333 0.667 0.500
Ga: 0.667 0.333 0.500
Fe: 0.000 0.795 0.500
Fe: 0.205 0.205 0.500
Fe: 0.795 0.000 0.500
C: 0.000 0.000 0.000

=====

Record 12
Computed, not measured: TmGa2Fe2C after structural relaxation at the PBE level of DFT.

## Properties
- M_tot: 0.00 μB/cell
- E_form: -0.3192 eV per atom
- DFT total energy: -6.432 eV/atom
- SG: P4/mmm
- Volume: 81.2 Å³/cell

Unit cell a=3.843 b=3.843 c=5.496 alpha=90.00 beta=90.00 gamma=90.00
Positions (direct):
Tm: 0.000 0.000 0.000
Ga: 0.500 0.500 0.224
Ga: 0.500 0.500 0.776
Fe: 0.000 0.500 0.500
Fe: 0.500 0.000 0.500
C: 0.000 0.000 0.500

=====

Record 13
Computed, not measured: U2Ga2Fe4C after structural relaxation at the PBE level of DFT.

## Properties
- M_tot: 1.37 μB/cell
- E_form: 0.1344 eV per atom
- DFT total energy: -7.833 eV/atom
- SG: I4/mmm
- Volume: 127.0 Å³/cell

Unit cell a=5.579 b=5.579 c=5.579 alpha=117.50 beta=117.50 gamma=94.39
Positions (direct):
U: 0.209 0.209 0.000
U: 0.791 0.791 0.000
Ga: 0.250 0.750 0.500
Ga: 0.750 0.250 0.500
Fe: 0.252 0.252 0.504
Fe: 0.252 0.748 0.000
Fe: 0.748 0.252 0.000
Fe: 0.748 0.748 0.496
C: 0.500 0.500 0.000

=====

Record 14
Computed, not measured: V2GaFeC after structural relaxation at the PBE level of DFT.

## Properties
- M_tot: 2.46 μB/cell
- E_form: -0.1913 eV per atom
- DFT total energy: -7.981 eV/atom
- SG: P4/mmm
- Volume: 60.3 Å³/cell

Unit cell a=3.995 b=3.995 c=3.777 alpha=90.00 beta=90.00 gamma=90.00
Positions (direct):
V: 0.000 0.500 0.000
V: 0.500 0.000 0.000
Ga: 0.000 0.000 0.500
Fe: 0.500 0.500 0.500
C: 0.500 0.500 0.000

=====

Record 15
Computed, not measured: GaFe2WC after structural relaxation at the PBE level of DFT.

## Properties
- M_tot: 4.28 μB/cell
- E_form: 0.0682 eV per atom
- DFT total energy: -8.358 eV/atom
- SG: P4/mmm
- Volume: 61.5 Å³/cell

Unit cell a=3.849 b=3.849 c=4.152 alpha=90.00 beta=90.00 gamma=90.00
Positions (direct):
Ga: 0.000 0.000 0.000
Fe: 0.000 0.500 0.500
Fe: 0.500 0.000 0.500
W: 0.500 0.500 0.000
C: 0.500 0.500 0.500

=====

Record 16
Computed, not measured: Y2Ga3Fe14C2 after structural relaxation at the PBE level of DFT.

## Properties
- M_tot: 25.83 μB/cell
- E_form: -0.1468 eV per atom
- DFT total energy: -7.715 eV/atom
- SG: C2/m
- Volume: 269.1 Å³/cell

Unit cell a=6.488 b=6.488 c=6.521 alpha=96.49 beta=96.49 gamma=82.58
Positions (direct):
Y: 0.152 0.152 0.339
Y: 0.848 0.848 0.661
Ga: 0.000 0.500 0.000
Ga: 0.500 0.000 0.000
Ga: 0.500 0.500 0.500
Fe: 0.151 0.651 0.345
Fe: 0.155 0.155 0.846
Fe: 0.205 0.795 0.000
Fe: 0.214 0.502 0.715
Fe: 0.349 0.849 0.655
Fe: 0.408 0.408 0.095
Fe: 0.498 0.786 0.285
Fe: 0.502 0.214 0.715
Fe: 0.592 0.592 0.905
Fe: 0.651 0.151 0.345
Fe: 0.786 0.498 0.285
Fe: 0.795 0.205 0.000
Fe: 0.845 0.845 0.154
Fe: 0.849 0.349 0.655
C: 0.000 0.500 0.500
C: 0.500 0.000 0.500

=====

Record 17
Computed, not measured: Zr2GaFeC after structural relaxation at the PBE level of DFT.

## Properties
- M_tot: 1.93 μB/cell
- E_form: -0.4287 eV per atom
- DFT total energy: -7.991 eV/atom
- SG: P4/mmm
- Volume: 79.1 Å³/cell

Unit cell a=4.583 b=4.583 c=3.766 alpha=90.00 beta=90.00 gamma=90.00
Positions (direct):
Zr: 0.000 0.500 0.000
Zr: 0.500 0.000 0.000
Ga: 0.000 0.000 0.500
Fe: 0.500 0.500 0.500
C: 0.500 0.500 0.000

=====

Record 18
Computed, not measured: Gd2Fe17C3 after structural relaxation at the PBE level of DFT.

## Properties
- M_tot: 48.52 μB/cell
- E_form: -0.0572 eV per atom
- DFT total energy: -9.134 eV/atom
- SG: R-3m
- Volume: 270.6 Å³/cell

Unit cell a=6.508 b=6.508 c=6.508 alpha=83.42 beta=83.42 gamma=83.42
Positions (direct):
Gd: 0.156 0.156 0.156
Gd: 0.844 0.844 0.844
Fe: 0.000 0.500 0.500
Fe: 0.157 0.157 0.643
Fe: 0.157 0.643 0.157
Fe: 0.216 0.500 0.784
Fe: 0.216 0.784 0.500
Fe: 0.357 0.843 0.843
Fe: 0.405 0.405 0.405
Fe: 0.500 0.000 0.500
Fe: 0.500 0.216 0.784
Fe: 0.500 0.500 0.000
Fe: 0.500 0.784 0.216
Fe: 0.595 0.595 0.595
Fe: 0.643 0.157 0.157
Fe: 0.784 0.216 0.500
Fe: 0.784 0.500 0.216
Fe: 0.843 0.357 0.843
Fe: 0.843 0.843 0.357
C: 0.000 0.000 0.500
C: 0.000 0.500 0.000
C: 0.500 0.000 0.000

=====

Record 19
Computed, not measured: GdFe2C after structural relaxation at the PBE level of DFT.

## Properties
- M_tot: 19.88 μB/cell
- E_form: 0.7842 eV per atom
- DFT total energy: -9.273 eV/atom
- SG: R-3m
- Volume: 203.6 Å³/cell

Unit cell a=4.576 b=4.576 c=11.228 alpha=90.00 beta=90.00 gamma=120.00
Positions (direct):
Gd: 0.000 0.000 0.000
Gd: 0.333 0.667 0.667
Gd: 0.667 0.333 0.333
Fe: 0.000 0.000 0.349
Fe: 0.000 0.000 0.651
Fe: 0.333 0.667 0.016
Fe: 0.333 0.667 0.318
Fe: 0.667 0.333 0.682
Fe: 0.667 0.333 0.984
C: 0.000 0.000 0.500
C: 0.333 0.667 0.167
C: 0.667 0.333 0.833

=====

Record 20
Computed, not measured: GdFeC after structural relaxation at the PBE level of DFT.

## Properties
- M_tot: 7.44 μB/cell
- E_form: 0.0100 eV per atom
- DFT total energy: -10.579 eV/atom
- SG: P-6m2
- Volume: 41.7 Å³/cell

Unit cell a=3.417 b=3.417 c=4.121 alpha=90.00 beta=90.00 gamma=120.00
Positions (direct):
Gd: 0.000 0.000 0.000
Fe: 0.667 0.333 0.500
C: 0.333 0.667 0.500

=====

Record 21
Computed, not measured: Fe2GeC after structural relaxation at the PBE level of DFT.

## Properties
- M_tot: 6.74 μB/cell
- E_form: 0.3070 eV per atom
- DFT total energy: -7.385 eV/atom
- SG: I-42d
- Volume: 176.4 Å³/cell

Unit cell a=6.078 b=6.078 c=4.776 alpha=90.00 beta=90.00 gamma=90.00
Positions (direct):
Fe: 0.147 0.250 0.125
Fe: 0.250 0.647 0.375
Fe: 0.250 0.853 0.875
Fe: 0.353 0.250 0.625
Fe: 0.647 0.750 0.625
Fe: 0.750 0.147 0.875
Fe: 0.750 0.353 0.375
Fe: 0.853 0.750 0.125
Ge: 0.000 0.000 0.500
Ge: 0.000 0.500 0.750
Ge: 0.500 0.000 0.250
Ge: 0.500 0.500 0.000
C: 0.000 0.000 0.000
C: 0.000 0.500 0.250
C: 0.500 0.000 0.750
C: 0.500 0.500 0.500

=====

Record 22
Computed, not measured: Fe6Ge2C after structural relaxation at the PBE level of DFT.

## Properties
- M_tot: 8.44 μB/cell
- E_form: -0.0148 eV per atom
- DFT total energy: -7.708 eV/atom
- SG: P4/mmm
- Volume: 101.0 Å³/cell

Unit cell a=3.786 b=3.786 c=7.041 alpha=90.00 beta=90.00 gamma=90.00
Positions (direct):
Fe: 0.000 0.000 0.230
Fe: 0.000 0.000 0.770
Fe: 0.000 0.500 0.000
Fe: 0.000 0.500 0.500
Fe: 0.500 0.000 0.000
Fe: 0.500 0.000 0.500
Ge: 0.500 0.500 0.249
Ge: 0.500 0.500 0.751
C: 0.000 0.000 0.500

=====

Record 23
Computed, not measured: FeGe3C after structural relaxation at the PBE level of DFT.

## Properties
- M_tot: 2.46 μB/cell
- E_form: 1.1502 eV per atom
- DFT total energy: -5.158 eV/atom
- SG: Pm-3m
- Volume: 74.6 Å³/cell

Unit cell a=4.210 b=4.210 c=4.210 alpha=90.00 beta=90.00 gamma=90.00
Positions (direct):
Fe: 0.000 0.000 0.000
Ge: 0.000 0.500 0.500
Ge: 0.500 0.000 0.500
Ge: 0.500 0.500 0.000
C: 0.500 0.500 0.500

=====

Record 24
Computed, not measured: Fe2GeC after structural relaxation at the PBE level of DFT.

## Properties
- M_tot: 0.00 μB/cell
- E_form: 0.8806 eV per atom
- DFT total energy: -6.811 eV/atom
- SG: Fm-3m
- Volume: 161.3 Å³/cell

Unit cell a=5.443 b=5.443 c=5.443 alpha=90.00 beta=90.00 gamma=90.00
Positions (direct):
Fe: 0.250 0.250 0.250
Fe: 0.250 0.250 0.750
Fe: 0.250 0.750 0.250
Fe: 0.250 0.750 0.750
Fe: 0.750 0.250 0.250
Fe: 0.750 0.250 0.750
Fe: 0.750 0.750 0.250
Fe: 0.750 0.750 0.750
Ge: 0.000 0.000 0.000
Ge: 0.000 0.500 0.500
Ge: 0.500 0.000 0.500
Ge: 0.500 0.500 0.000
C: 0.000 0.000 0.500
C: 0.000 0.500 0.000
C: 0.500 0.000 0.000
C: 0.500 0.500 0.500

=====

Record 25
Computed, not measured: Fe4Ge2C after structural relaxation at the PBE level of DFT.

## Properties
- M_tot: 8.13 μB/cell
- E_form: 0.0725 eV per atom
- DFT total energy: -7.400 eV/atom
- SG: I4/mmm
- Volume: 168.5 Å³/cell

Unit cell a=3.724 b=3.724 c=12.148 alpha=90.00 beta=90.00 gamma=90.00
Positions (direct):
Fe: 0.000 0.000 0.161
Fe: 0.000 0.000 0.839
Fe: 0.000 0.500 0.000
Fe: 0.000 0.500 0.500
Fe: 0.500 0.000 0.000
Fe: 0.500 0.000 0.500
Fe: 0.500 0.500 0.339
Fe: 0.500 0.500 0.661
Ge: 0.000 0.000 0.358
Ge: 0.000 0.000 0.642
Ge: 0.500 0.500 0.142
Ge: 0.500 0.500 0.858
C: 0.000 0.000 0.000
C: 0.500 0.500 0.500